Entry 1:
Entry from Alexandria: crystalline Li2AgOs at its relaxed geometry (GGA-PBE).

Results
ΔH_f (0 K)	0.078	eV per atom
space group	No. 166
distance to the lowest polymorph of the same formula	0.000	eV/atom

Unit cell a=9.3685 b=9.3685 c=9.3685 alpha=16.70 beta=16.70 gamma=16.70
Sites, in units of the cell vectors:
Li: 0.2460 0.2460 0.2460
Li: 0.7540 0.7540 0.7540
Ag: 0.0000 0.0000 0.0000
Os: 0.5000 0.5000 0.5000

Entry 2:
Entry from Alexandria: crystalline TbPm7Sm2 at its relaxed geometry (GGA-PBE).

Results
ΔH_f (0 K)	0.383	eV per atom
space group	No. 65
distance to the lowest polymorph of the same formula	0.000	eV/atom

Unit cell a=10.3551 b=10.3551 c=3.5384 alpha=90.00 beta=90.00 gamma=108.93
Sites, in units of the cell vectors:
Tb: 0.0000 0.0000 0.0000
Pm: 0.1278 0.3830 0.5000
Pm: 0.3238 0.6762 0.0000
Pm: 0.3830 0.1278 0.5000
Pm: 0.5000 0.5000 0.5000
Pm: 0.6170 0.8722 0.5000
Pm: 0.6762 0.3238 0.0000
Pm: 0.8722 0.6170 0.5000
Sm: 0.1696 0.8304 0.5000
Sm: 0.8304 0.1696 0.5000

Entry 3:
Entry from Alexandria: crystalline NdGdCu2 at its relaxed geometry (GGA-PBE).

Results
ΔH_f (0 K)	-0.178	eV per atom
space group	No. 123
distance to the lowest polymorph of the same formula	0.000	eV/atom

Unit cell a=3.5474 b=3.5474 c=7.1060 alpha=90.00 beta=90.00 gamma=90.00
Sites, in units of the cell vectors:
Nd: 0.0000 0.0000 0.0000
Gd: 0.0000 0.0000 0.5000
Cu: 0.5000 0.5000 0.2637
Cu: 0.5000 0.5000 0.7363

Entry 4:
Entry from Alexandria: crystalline NdTlGaPd at its relaxed geometry (GGA-PBE).

Results
ΔH_f (0 K)	-0.461	eV per atom
space group	No. 216

Unit cell a=5.0028 b=5.0028 c=5.0028 alpha=60.00 beta=60.00 gamma=60.00
Sites, in units of the cell vectors:
Nd: 0.0000 0.0000 0.0000
Tl: 0.5000 0.5000 0.5000
Ga: 0.7500 0.7500 0.7500
Pd: 0.2500 0.2500 0.2500

Entry 5:
Entry from Alexandria: crystalline ZrPbW2 at its relaxed geometry (GGA-PBE).

Results
ΔH_f (0 K)	0.587	eV per atom
space group	No. 12

Unit cell a=5.7226 b=5.7226 c=2.9668 alpha=102.52 beta=102.52 gamma=118.84
Sites, in units of the cell vectors:
Zr: 0.0000 0.0000 0.0000
Pb: 0.5000 0.5000 0.0000
W: 0.0000 0.5000 0.5000
W: 0.5000 0.0000 0.5000

Entry 6:
Entry from Alexandria: crystalline MnSnPHS at its relaxed geometry (GGA-PBE).

Results
space group	No. 6
distance to the lowest polymorph of the same formula	0.006	eV/atom

Unit cell a=5.6726 b=3.3785 c=5.8107 alpha=90.00 beta=111.17 gamma=90.00
Sites, in units of the cell vectors:
Mn: 0.0000 0.0000 0.0000
Sn: 0.2989 0.5000 0.7857
P: 0.0657 0.5000 0.3027
H: 0.8193 0.5000 0.3181
S: 0.7419 0.5000 0.7515

Entry 7:
Entry from Alexandria: crystalline Pu2ReSi at its relaxed geometry (GGA-PBE).

Results
space group	No. 166
formation energy without anion corrections	263	meV/atom
distance to the lowest polymorph of the same formula	0.378	eV/atom

Unit cell a=10.4521 b=10.4521 c=10.4521 alpha=15.67 beta=15.67 gamma=15.67
Sites, in units of the cell vectors:
Pu: 0.2489 0.2489 0.2489
Pu: 0.7511 0.7511 0.7511
Re: 0.0000 0.0000 0.0000
Si: 0.5000 0.5000 0.5000

Entry 8:
Entry from Alexandria: crystalline CaMnCl2 at its relaxed geometry (GGA-PBE).

Results
space group	No. 166
formation energy without anion corrections	-761	meV/atom
distance to the lowest polymorph of the same formula	0.235	eV/atom

Unit cell a=8.7627 b=8.7627 c=8.7627 alpha=25.11 beta=25.11 gamma=25.11
Sites, in units of the cell vectors:
Ca: 0.0000 0.0000 0.0000
Mn: 0.5000 0.5000 0.5000
Cl: 0.1124 0.1124 0.1124
Cl: 0.8876 0.8876 0.8876

Entry 9:
Entry from Alexandria: crystalline LiIr2Ru at its relaxed geometry (GGA-PBE).

Results
ΔH_f (0 K)	0.091	eV per atom
space group	No. 71
distance to the lowest polymorph of the same formula	0.117	eV/atom

Unit cell a=4.9912 b=4.9912 c=4.9912 alpha=146.79 beta=127.71 gamma=63.36
Sites, in units of the cell vectors:
Li: 0.0000 0.0000 0.0000
Ir: 0.2321 0.7321 0.5000
Ir: 0.7679 0.2679 0.5000
Ru: 0.5000 0.5000 0.0000

Entry 10:
Entry from Alexandria: crystalline Ge4IrRu2 at its relaxed geometry (GGA-PBE).

Results
ΔH_f (0 K)	-0.221	eV per atom
space group	No. 12

Unit cell a=6.6293 b=6.6293 c=6.6310 alpha=113.99 beta=113.99 gamma=27.06
Sites, in units of the cell vectors:
Ge: 0.1001 0.1001 0.3223
Ge: 0.3459 0.3459 0.1345
Ge: 0.6541 0.6541 0.8655
Ge: 0.8999 0.8999 0.6777
Ir: 0.5000 0.5000 0.0000
Ru: 0.2437 0.2437 0.6941
Ru: 0.7563 0.7563 0.3059

Entry 11:
Entry from Alexandria: crystalline NaCa4Ni3H12 at its relaxed geometry (GGA-PBE).

Results
space group	No. 229

Unit cell a=6.2854 b=6.2854 c=6.2854 alpha=109.47 beta=109.47 gamma=109.47
Sites, in units of the cell vectors:
Na: 0.0000 0.0000 0.0000
Ca: 0.0000 0.0000 0.5000
Ca: 0.0000 0.5000 0.0000
Ca: 0.5000 0.0000 0.0000
Ca: 0.5000 0.5000 0.5000
Ni: 0.0000 0.5000 0.5000
Ni: 0.5000 0.0000 0.5000
Ni: 0.5000 0.5000 0.0000
H: 0.0000 0.2793 0.2793
H: 0.0000 0.7207 0.7207
H: 0.2500 0.5000 0.7500
H: 0.2500 0.7500 0.5000
H: 0.2793 0.0000 0.2793
H: 0.2793 0.2793 0.0000
H: 0.5000 0.2500 0.7500
H: 0.5000 0.7500 0.2500
H: 0.7207 0.0000 0.7207
H: 0.7207 0.7207 0.0000
H: 0.7500 0.2500 0.5000
H: 0.7500 0.5000 0.2500

Entry 12:
Entry from Alexandria: crystalline DyErHg at its relaxed geometry (GGA-PBE).

Results
ΔH_f (0 K)	-0.364	eV per atom
space group	No. 62
distance to the lowest polymorph of the same formula	0.000	eV/atom

Unit cell a=7.0656 b=5.0712 c=9.1780 alpha=90.00 beta=90.00 gamma=90.00
Sites, in units of the cell vectors:
Dy: 0.0158 0.2500 0.1937
Dy: 0.4842 0.7500 0.6937
Dy: 0.5158 0.2500 0.3063
Dy: 0.9842 0.7500 0.8063
Er: 0.1680 0.2500 0.5749
Er: 0.3320 0.7500 0.0749
Er: 0.6680 0.2500 0.9251
Er: 0.8320 0.7500 0.4251
Hg: 0.2394 0.2500 0.8986
Hg: 0.2606 0.7500 0.3986
Hg: 0.7394 0.2500 0.6014
Hg: 0.7606 0.7500 0.1014

Entry 13:
Entry from Alexandria: crystalline AlAg2Mo at its relaxed geometry (GGA-PBE).

Results
ΔH_f (0 K)	0.199	eV per atom
space group	No. 10

Unit cell a=4.9351 b=2.7389 c=5.2465 alpha=90.00 beta=109.70 gamma=90.00
Sites, in units of the cell vectors:
Al: 0.0000 0.0000 0.0000
Ag: 0.0000 0.5000 0.5000
Ag: 0.5000 0.0000 0.5000
Mo: 0.5000 0.5000 0.0000

Entry 14:
Entry from Alexandria: crystalline AcGa5Pd2Pt at its relaxed geometry (GGA-PBE).

Results
ΔH_f (0 K)	-0.479	eV per atom
space group	No. 123

Unit cell a=4.4493 b=4.4493 c=9.8852 alpha=90.00 beta=90.00 gamma=90.00
Sites, in units of the cell vectors:
Ac: 0.0000 0.0000 0.0000
Ga: 0.0000 0.5000 0.3545
Ga: 0.0000 0.5000 0.6455
Ga: 0.5000 0.0000 0.3545
Ga: 0.5000 0.0000 0.6455
Ga: 0.5000 0.5000 0.0000
Pd: 0.5000 0.5000 0.2370
Pd: 0.5000 0.5000 0.7630
Pt: 0.0000 0.0000 0.5000

Entry 15:
Entry from Alexandria: crystalline Zn3Ga2Pd at its relaxed geometry (GGA-PBE).

Results
ΔH_f (0 K)	-0.160	eV per atom
space group	No. 12

Unit cell a=5.8797 b=5.8797 c=8.5575 alpha=94.32 beta=94.32 gamma=138.49
Sites, in units of the cell vectors:
Zn: 0.0669 0.0669 0.2480
Zn: 0.2536 0.6012 0.7761
Zn: 0.3988 0.7464 0.2239
Zn: 0.6012 0.2536 0.7761
Zn: 0.7464 0.3988 0.2239
Zn: 0.9331 0.9331 0.7520
Ga: 0.1697 0.8303 0.5000
Ga: 0.5000 0.5000 0.0000
Ga: 0.5000 0.5000 0.5000
Ga: 0.8303 0.1697 0.5000
Pd: 0.1490 0.8510 0.0000
Pd: 0.8510 0.1490 0.0000

Entry 16:
Entry from Alexandria: crystalline LiZr2W at its relaxed geometry (GGA-PBE).

Results
ΔH_f (0 K)	0.322	eV per atom
space group	No. 35

Unit cell a=2.8836 b=2.8836 c=10.3354 alpha=90.00 beta=90.00 gamma=113.74
Sites, in units of the cell vectors:
Li: 0.0000 0.0000 0.0000
Zr: 0.0000 0.0000 0.4564
Zr: 0.5000 0.5000 0.7320
W: 0.5000 0.5000 0.2306

Entry 17:
Entry from Alexandria: crystalline Pm6ErIn2 at its relaxed geometry (GGA-PBE).

Results
ΔH_f (0 K)	-0.074	eV per atom
space group	No. 63
distance to the lowest polymorph of the same formula	0.141	eV/atom

Unit cell a=11.1617 b=11.1617 c=5.1432 alpha=90.00 beta=90.00 gamma=66.08
Sites, in units of the cell vectors:
Pm: 0.0061 0.1751 0.2500
Pm: 0.0293 0.3655 0.7500
Pm: 0.1751 0.0061 0.7500
Pm: 0.2809 0.5230 0.7500
Pm: 0.3655 0.0293 0.2500
Pm: 0.4770 0.7191 0.7500
Pm: 0.5230 0.2809 0.2500
Pm: 0.6345 0.9707 0.7500
Pm: 0.7191 0.4770 0.2500
Pm: 0.8249 0.9939 0.2500
Pm: 0.9707 0.6345 0.2500
Pm: 0.9939 0.8249 0.7500
Er: 0.2167 0.7833 0.2500
Er: 0.7833 0.2167 0.7500
In: 0.2087 0.3565 0.2500
In: 0.3565 0.2087 0.7500
In: 0.6435 0.7913 0.2500
In: 0.7913 0.6435 0.7500

Entry 18:
Entry from Alexandria: crystalline CuI2N2 at its relaxed geometry (GGA-PBE).

Results
space group	No. 12
formation energy without anion corrections	-44	meV/atom
distance to the lowest polymorph of the same formula	0.000	eV/atom

Unit cell a=4.5228 b=4.5228 c=10.9304 alpha=95.35 beta=95.35 gamma=48.62
Sites, in units of the cell vectors:
Cu: 0.0000 0.0000 0.0000
I: 0.3788 0.3788 0.8504
I: 0.6212 0.6212 0.1496
N: 0.0595 0.0595 0.5292
N: 0.9405 0.9405 0.4708

Entry 19:
Entry from Alexandria: crystalline K2RbSn at its relaxed geometry (GGA-PBE).

Results
ΔH_f (0 K)	0.290	eV per atom
space group	No. 166

Unit cell a=15.5079 b=15.5079 c=15.5079 alpha=15.20 beta=15.20 gamma=15.20
Sites, in units of the cell vectors:
K: 0.0750 0.0750 0.0750
K: 0.9250 0.9250 0.9250
Rb: 0.5000 0.5000 0.5000
Sn: 0.0000 0.0000 0.0000

Entry 20:
Entry from Alexandria: crystalline LiScB3 at its relaxed geometry (GGA-PBE).

Results
ΔH_f (0 K)	1.010	eV per atom
space group	No. 221
distance to the lowest polymorph of the same formula	0.000	eV/atom

Unit cell a=3.6936 b=3.6936 c=3.6936 alpha=90.00 beta=90.00 gamma=90.00
Sites, in units of the cell vectors:
Li: 0.0000 0.0000 0.0000
Sc: 0.5000 0.5000 0.5000
B: 0.0000 0.0000 0.5000
B: 0.0000 0.5000 0.0000
B: 0.5000 0.0000 0.0000

| no. | DFT total energy (eV/atom) |
| --- | --- |
| 1 | -4.399 |
| 2 | -4.349 |
| 3 | -6.939 |
| 4 | -4.300 |
| 5 | -8.953 |
| 6 | -5.297 |
| 7 | -11.371 |
| 8 | -4.477 |
| 9 | -7.137 |
| 10 | -6.776 |
| 11 | -3.735 |
| 12 | -3.520 |
| 13 | -4.871 |
| 14 | -4.442 |
| 15 | -2.672 |
| 16 | -7.669 |
| 17 | -4.356 |
| 18 | -4.814 |
| 19 | -1.501 |
| 20 | -4.646 |